CsGaCl4 PBE optimized geometry; total moment = 0.0 Bohr magnetons per cell; final energy = -20.4 eV/f.u.; energy relative to the elements, uncorrected = -1.525 eV/atom
1.0
6.6553 0.0000 0.0000
0.0000 7.0599 0.0000
0.0000 0.0000 10.3840
Cl Ga Cs
8 2 2
Direct
0.3466 0.5369 0.0000
0.1997 0.1680 0.6700
0.6534 0.0369 0.5000
0.2501 0.7155 0.5000
0.8003 0.6680 0.8300
0.1997 0.1680 0.3300
0.8003 0.6680 0.1700
0.7499 0.2155 0.0000
0.3209 0.0206 0.5000
0.6791 0.5206 0.0000
0.2332 0.0190 0.0000
0.7668 0.5190 0.5000